[1]
{"formula": "Cs2PrHoSe4", "functional": "PBE-GGA", "state": "optimized geometry", "lattice": [[4.337, 0.000, 0.000], [-2.168, 3.756, 0.000], [0.000, 0.000, 16.716]], "species": ["Cs", "Cs", "Pr", "Ho", "Se", "Se", "Se", "Se"], "frac_coords": [[0.333, 0.667, 0.246], [0.667, 0.333, 0.754], [0.000, 0.000, 0.500], [0.000, 0.000, 0.000], [0.333, 0.667, 0.599], [0.333, 0.667, 0.910], [0.667, 0.333, 0.090], [0.667, 0.333, 0.401]], "crystal_system": "trigonal", "vol_a3_per_atom": 34.0, "e_tot_ev_per_atom": -4.8445}



[2]
{"formula": "CsRbHo2Sb2", "functional": "PBE-GGA", "state": "optimized geometry", "lattice": [[5.207, 0.000, 0.000], [0.000, 5.207, 0.000], [0.000, 0.000, 9.073]], "species": ["Cs", "Rb", "Ho", "Ho", "Sb", "Sb"], "frac_coords": [[0.000, 0.000, 0.000], [0.500, 0.500, 0.273], [0.000, 0.500, 0.628], [0.500, 0.000, 0.628], [0.000, 0.000, 0.447], [0.500, 0.500, 0.813]], "crystal_system": "tetragonal", "vol_a3_per_atom": 41.0, "e_tot_ev_per_atom": -3.8072}



[3]
{"formula": "CsHoRe", "functional": "PBE-GGA", "state": "optimized geometry", "lattice": [[0.000, 3.491, 3.491], [3.491, 0.000, 3.491], [3.491, 3.491, 0.000]], "species": ["Cs", "Ho", "Re"], "frac_coords": [[0.000, 0.000, 0.000], [0.250, 0.250, 0.250], [0.750, 0.750, 0.750]], "crystal_system": "cubic", "vol_a3_per_atom": 28.4, "e_tot_ev_per_atom": -3.5885}